# YTm2AgC, relaxed, DFT PBE
data_YTm2AgC
_symmetry_space_group_name_H-M 'P 4 m m'
_symmetry_Int_Tables_number 99
_cell_length_a 4.7795
_cell_length_b 4.7795
_cell_length_c 4.9852
_cell_angle_alpha 90.00
_cell_angle_beta 90.00
_cell_angle_gamma 90.00
loop_
_symmetry_equiv_pos_as_xyz
'x,y,z'
'-y,x,z'
'-x,-y,z'
'y,-x,z'
'-x,y,z'
'y,x,z'
'x,-y,z'
'-y,-x,z'
loop_
_atom_site_label
_atom_site_type_symbol
_atom_site_fract_x
_atom_site_fract_y
_atom_site_fract_z
Y1 Y 0.0000 0.0000 0.0000
Tm1 Tm 0.0000 0.5000 0.5007
Ag1 Ag 0.5000 0.5000 0.0039
C1 C 0.0000 0.0000 0.5050
# Total magnetization in μB per formula unit: 0.0
# Theoretical density in g/cm³: 7.97
# Density of states at the Fermi level in states/eV per cell: 6.5
# Energy of formation in eV per atom: -0.250

# VAgC3, relaxed, DFT PBE
data_VAgC3
_symmetry_space_group_name_H-M 'P m -3 m'
_symmetry_Int_Tables_number 221
_symmetry_space_group_name_Hall '-P 4 2 3'
_cell_length_a 4.0701
_cell_length_b 4.0701
_cell_length_c 4.0701
_cell_angle_alpha 90.00
_cell_angle_beta 90.00
_cell_angle_gamma 90.00
loop_
_atom_site_label
_atom_site_type_symbol
_atom_site_fract_x
_atom_site_fract_y
_atom_site_fract_z
V1 V 0.0000 0.0000 0.0000
Ag1 Ag 0.5000 0.5000 0.5000
C1 C 0.0000 0.5000 0.5000
# Total magnetization in μB per formula unit: 2.9
# Theoretical density in g/cm³: 4.80
# Density of states at the Fermi level in states/eV per cell: 5.5
# Energy above the lowest structure with this stoichiometry in eV/atom: 1.358
# Energy of formation in eV per atom: 3.171

# VAgC3, relaxed, DFT PBE
data_VAgC3
_symmetry_space_group_name_H-M 'P m -3 m'
_symmetry_Int_Tables_number 221
_symmetry_space_group_name_Hall '-P 4 2 3'
_cell_length_a 3.9484
_cell_length_b 3.9484
_cell_length_c 3.9484
_cell_angle_alpha 90.00
_cell_angle_beta 90.00
_cell_angle_gamma 90.00
loop_
_atom_site_label
_atom_site_type_symbol
_atom_site_fract_x
_atom_site_fract_y
_atom_site_fract_z
V1 V 0.0000 0.0000 0.0000
Ag1 Ag 0.5000 0.5000 0.5000
C1 C 0.0000 0.0000 0.5000
# Total magnetization in μB per formula unit: 0.0
# Theoretical density in g/cm³: 5.26
# Density of states at the Fermi level in states/eV per cell: 2.4
# Energy above the lowest structure with this stoichiometry in eV/atom: 0.000
# Energy of formation in eV per atom: 1.813

# VAg3C, relaxed, DFT PBE
data_VAg3C
_symmetry_space_group_name_H-M 'P m -3 m'
_symmetry_Int_Tables_number 221
_symmetry_space_group_name_Hall '-P 4 2 3'
_cell_length_a 4.3326
_cell_length_b 4.3326
_cell_length_c 4.3326
_cell_angle_alpha 90.00
_cell_angle_beta 90.00
_cell_angle_gamma 90.00
loop_
_atom_site_label
_atom_site_type_symbol
_atom_site_fract_x
_atom_site_fract_y
_atom_site_fract_z
V1 V 0.0000 0.0000 0.0000
Ag1 Ag 0.0000 0.5000 0.5000
C1 C 0.5000 0.5000 0.5000
# Total magnetization in μB per formula unit: 3.6
# Theoretical density in g/cm³: 7.89
# Density of states at the Fermi level in states/eV per cell: 5.3
# Energy above the lowest structure with this stoichiometry in eV/atom: 0.000
# Energy of formation in eV per atom: 1.009

# VAgC2, relaxed, DFT PBE
data_VAgC2
_symmetry_space_group_name_H-M 'I -4 2 d'
_symmetry_Int_Tables_number 122
_symmetry_space_group_name_Hall 'I -4 2bw'
_cell_length_a 4.8167
_cell_length_b 4.8167
_cell_length_c 9.1799
_cell_angle_alpha 90.00
_cell_angle_beta 90.00
_cell_angle_gamma 90.00
loop_
_atom_site_label
_atom_site_type_symbol
_atom_site_fract_x
_atom_site_fract_y
_atom_site_fract_z
V1 V 0.0000 0.0000 0.0000
Ag1 Ag 0.0000 0.0000 0.5000
C1 C 0.1993 0.2500 0.1250
# Total magnetization in μB per formula unit: 0.0
# Theoretical density in g/cm³: 5.70
# Density of states at the Fermi level in states/eV per cell: 6.7
# Energy above the lowest structure with this stoichiometry in eV/atom: 0.000
# Energy of formation in eV per atom: 1.075

# VAg2C, relaxed, DFT PBE
data_VAg2C
_symmetry_space_group_name_H-M 'I -4 2 d'
_symmetry_Int_Tables_number 122
_symmetry_space_group_name_Hall 'I -4 2bw'
_cell_length_a 3.5114
_cell_length_b 3.5114
_cell_length_c 20.0434
_cell_angle_alpha 90.00
_cell_angle_beta 90.00
_cell_angle_gamma 90.00
loop_
_atom_site_label
_atom_site_type_symbol
_atom_site_fract_x
_atom_site_fract_y
_atom_site_fract_z
V1 V 0.0000 0.0000 0.0000
Ag1 Ag 0.2473 0.2500 0.6250
C1 C 0.0000 0.0000 0.5000
# Total magnetization in μB per formula unit: 1.5
# Theoretical density in g/cm³: 7.49
# Density of states at the Fermi level in states/eV per cell: 11.6
# Energy of formation in eV per atom: 1.271